NiP2RhCl | PBE-GGA | optimized geometry

Structure (POSCAR):
```
NiP2RhCl
1.0
-3.029 -2.246 -2.076
2.871 -3.097 -0.837
-1.130 -2.111 3.933
Cl P Ni Rh
1 2 1 1
Cartesian
-0.565 -1.056 1.966
-1.515 -1.123 -1.038
1.435 -1.548 -0.419
0.000 0.000 0.000
-0.644 -3.727 0.509
```

**Polymorph energy (0 for the lowest one)**: 0 meV per atom
**Formation energy from raw total energies**: 66.93 kJ per mole of atoms

Y3H2Pb2 | PBE-GGA | optimized geometry

Structure (POSCAR):
```
Y3H2Pb2
1.0
3.886 1.281 0.741
0.052 6.423 0.296
1.173 -0.359 6.149
Pb Y H
2 3 2
Cartesian
1.291 1.400 2.481
3.820 5.945 4.704
2.549 2.794 5.134
2.563 4.551 2.052
0.000 0.000 0.000
0.663 4.303 0.756
4.448 3.042 6.429
```

**VASP energy**: -0.3950 Ry/atom

Li3Ca2USe6 | PBE-GGA | optimized geometry

Structure (POSCAR):
```
Li3Ca2USe6
1.0
-1.248 -6.639 2.340
2.878 1.061 -6.458
5.367 1.638 3.951
Se U Li Ca
6 1 3 2
Cartesian
1.116 -2.128 1.399
4.424 -0.081 2.004
2.410 0.285 -1.359
5.881 -1.812 -1.566
2.574 -3.859 -2.171
4.588 -4.225 1.192
0.000 0.000 0.000
4.925 0.691 -3.124
2.073 -4.631 2.957
3.499 -1.970 -0.083
1.509 -1.493 -3.539
0.121 -4.085 -0.578
```

**Formation energy from raw total energies**: -142.32 kJ per mole of atoms

no.,DOS(E_F) (states/eV per atom)
1,0.974
2,0.412
3,0.017